<1>
GGA-PBEsol YSc2Br, optimized geometry; magnetic moment = 0.0 μB/f.u.
1.0
-1.999 2.530 -0.857
-2.441 -3.105 -3.472
-3.621 -1.534 3.918
Sc Br Y
2 1 1
Cartesian
0.000 0.000 0.000
-2.220 -0.287 -2.164
-3.031 -2.319 0.223
-2.810 0.498 1.531

---

<2>
GGA-PBEsol YSc2Br, optimized geometry; magnetic moment = 0.6 μB/f.u.
1.0
3.394 0.000 0.000
0.000 5.684 0.023
0.000 -2.583 5.063
Y Sc Br
1 2 1
Cartesian
1.697 0.000 0.000
0.000 2.842 0.011
0.000 -1.292 2.531
1.697 1.550 2.543

---

What should be chosen as the least stable of them? Choose <2>.

---

<1>
GGA-PBEsol SiSeBr2, optimized geometry; magnetic moment = 0.0 μB/f.u.
1.0
-1.939 -0.283 2.695
1.253 -4.760 0.401
4.426 3.998 3.603
Br Si Se
2 1 1
Cartesian
4.258 0.083 3.072
1.420 -0.844 0.933
1.870 -0.522 3.350
1.244 1.858 3.149

---

<2>
GGA-PBEsol SiSeBr2, optimized geometry; magnetic moment = 0.0 μB/f.u.
1.0
3.058 0.000 0.000
1.529 2.649 0.000
1.529 0.883 10.857
Br Si Se
2 1 1
Cartesian
1.529 0.883 8.517
4.588 2.649 2.340
0.000 0.000 0.000
3.058 1.766 5.429

---

What should be chosen as the least stable of them? Choose <2>.

---

<1>
GGA-PBEsol Sr2SeBr, optimized geometry; magnetic moment = 0.0 μB/f.u.
1.0
-3.138 3.134 2.947
-2.317 -1.927 4.392
1.626 1.636 4.801
Br Sr Se
1 2 1
Cartesian
-1.569 1.567 1.474
-1.303 0.565 7.632
-2.526 2.278 4.509
-0.346 -0.145 4.597

---

<2>
GGA-PBEsol Sr2SeBr, optimized geometry; magnetic moment = 0.0 μB/f.u.
1.0
3.757 0.512 0.581
-0.759 5.232 0.278
-0.759 -0.387 5.225
Br Sr Se
1 2 1
Cartesian
1.120 2.679 3.042
-0.379 -0.193 2.613
-0.379 2.616 0.139
1.878 0.256 0.291

---

What should be chosen as the least stable of them? Choose <2>.

---

<1>
GGA-PBEsol Ta2SeBr, optimized geometry; magnetic moment = 0.0 μB/f.u.
1.0
-1.943 -3.086 2.979
1.989 -4.219 0.649
2.130 -0.996 4.080
Br Ta Se
1 2 1
Cartesian
1.088 -4.150 3.854
0.000 0.000 0.000
1.632 -6.226 5.781
0.544 -2.075 1.927

---

<2>
GGA-PBEsol Ta2SeBr, optimized geometry; magnetic moment = 0.0 μB/f.u.
1.0
-2.304 -0.399 -2.031
2.807 -2.373 -2.717
-1.585 -2.885 4.727
Ta Br Se
2 1 1
Cartesian
-0.050 -0.159 0.087
0.753 -3.268 -0.213
0.223 -1.479 -2.323
-1.757 -2.139 0.053

---

<3>
GGA-PBEsol Ta2SeBr, optimized geometry; magnetic moment = 0.0 μB/f.u.
1.0
3.010 0.000 0.000
0.000 4.332 0.000
0.000 0.000 5.758
Ta Br Se
2 1 1
Cartesian
0.000 0.000 0.000
1.505 0.000 2.879
1.505 2.166 0.000
0.000 2.166 2.879

---

What should be chosen as the least stable of them? Choose <1>.

---

<1>
GGA-PBEsol Tc2SeBr, optimized geometry; magnetic moment = 0.0 μB/f.u.
1.0
3.018 0.000 0.000
0.000 3.814 0.000
0.000 0.000 6.313
Tc Br Se
2 1 1
Cartesian
1.509 1.907 1.362
0.000 0.000 0.172
0.000 0.000 2.609
1.509 1.907 5.327

---

<2>
GGA-PBEsol Tc2SeBr, optimized geometry; magnetic moment = 0.0 μB/f.u.
1.0
3.155 0.000 0.022
0.000 3.568 0.000
-0.047 0.000 6.403
Tc Br Se
2 1 1
Cartesian
1.562 0.000 2.085
1.546 0.000 4.341
1.577 1.784 0.011
-0.023 1.784 3.202

---

What should be chosen as the least stable of them? Choose <2>.

---

<1>
GGA-PBEsol Tc2SeBr, optimized geometry; magnetic moment = 0.0 μB/f.u.
1.0
-2.396 0.332 -1.947
-2.599 -2.103 2.839
-1.015 3.820 1.901
Se Br Tc
1 1 2
Cartesian
-1.198 0.166 -0.973
-3.005 1.025 1.397
-1.299 -1.052 1.420
-0.507 1.910 0.951

---

<2>
GGA-PBEsol Tc2SeBr, optimized geometry; magnetic moment = 0.0 μB/f.u.
1.0
3.004 0.000 0.000
-1.502 2.737 0.000
0.000 0.000 8.147
Tc Br Se
2 1 1
Cartesian
0.000 0.000 6.275
0.000 0.000 1.873
1.502 0.000 4.074
1.502 0.000 0.000

---

What should be chosen as the least stable of them? Choose <2>.

---

<1>
GGA-PBEsol TcSeBr2, optimized geometry; magnetic moment = 2.3 μB/f.u.
1.0
-2.830 -0.012 3.722
2.298 -4.116 -1.203
3.537 -1.466 2.684
Br Se Tc
2 1 1
Cartesian
1.326 -2.427 1.000
1.680 -3.166 4.203
0.354 -0.739 3.203
0.000 0.000 0.000

---

<2>
GGA-PBEsol TcSeBr2, optimized geometry; magnetic moment = 0.0 μB/f.u.
1.0
4.677 0.000 0.000
2.338 6.458 0.000
2.338 0.000 6.458
Se Tc Br
2 2 4
Cartesian
2.338 0.000 0.000
3.507 3.229 3.229
0.000 0.000 0.000
5.846 3.229 3.229
6.430 0.891 4.119
5.261 4.119 5.567
5.261 2.338 0.891
6.430 5.567 2.338

---

What should be chosen as the least stable of them? Choose <1>.

---

<1>
GGA-PBEsol TeSe2Br, optimized geometry; magnetic moment = 0.0 μB/f.u.
1.0
-0.901 0.656 3.776
3.774 -0.523 0.992
1.124 6.483 -0.858
Te Br Se
1 1 2
Cartesian
1.998 3.308 1.955
0.562 3.241 -0.429
1.887 -0.262 0.496
-0.451 0.328 1.888

---

<2>
GGA-PBEsol TeSe2Br, optimized geometry; magnetic moment = 0.0 μB/f.u.
1.0
4.066 0.000 0.000
2.033 3.522 0.000
2.033 1.174 7.196
Br Se Te
1 2 1
Cartesian
0.000 0.000 0.000
2.033 1.174 1.985
6.100 3.522 5.211
4.066 2.348 3.598

---

<3>
GGA-PBEsol TeSe2Br, optimized geometry; magnetic moment = 0.0 μB/f.u.
1.0
3.956 0.000 0.000
0.000 5.155 0.037
0.000 -1.719 5.666
Br Se Te
1 2 1
Cartesian
1.978 2.578 0.018
0.000 -0.089 1.931
0.000 3.525 3.772
1.978 1.718 2.851

---

What should be chosen as the least stable of them? Choose <1>.

---

<1>
GGA-PBEsol WSeBr, optimized geometry; magnetic moment = 0.0 μB/f.u.
1.0
-1.434 -2.844 0.113
0.316 -0.034 3.171
-5.779 4.662 -0.977
W Br Se
1 1 1
Cartesian
-4.441 0.535 2.049
-6.552 1.608 2.271
-2.802 1.425 0.294

---

<2>
GGA-PBEsol WSeBr, optimized geometry; magnetic moment = 2.8 μB/f.u.
1.0
-4.474 -0.315 -0.449
-1.833 -0.374 -4.101
-1.868 -3.896 -1.287
Br Se W
1 1 1
Cartesian
-6.131 -3.438 -4.378
0.000 0.000 0.000
-4.087 -2.292 -2.919

---

What should be chosen as the least stable of them? Choose <2>.

---

<1>
GGA-PBEsol WSeBr2, optimized geometry; magnetic moment = 0.0 μB/f.u.
1.0
3.076 0.000 0.000
0.000 4.942 0.000
0.000 0.000 4.942
Br W Se
2 1 1
Cartesian
0.000 2.471 0.000
0.000 0.000 2.471
1.538 0.000 0.000
1.538 2.471 2.471

---

<2>
GGA-PBEsol WSeBr2, optimized geometry; magnetic moment = 0.0 μB/f.u.
1.0
-0.029 2.785 -1.652
-1.859 2.456 1.000
6.519 4.987 5.118
W Se Br
1 1 2
Cartesian
1.204 2.578 1.151
1.850 4.903 1.885
3.461 7.666 3.340
-1.456 5.437 -0.330

---

<3>
GGA-PBEsol WSeBr2, optimized geometry; magnetic moment = 0.0 μB/f.u.
1.0
4.544 0.000 0.000
-2.272 4.201 0.011
0.000 2.448 3.829
W Br Se
1 2 1
Cartesian
2.272 3.937 2.877
0.000 0.000 0.000
0.000 2.712 0.963
2.272 1.224 1.914

---

<4>
GGA-PBEsol WSeBr2, optimized geometry; magnetic moment = 0.0 μB/f.u.
1.0
4.431 0.000 0.000
-2.215 4.317 0.029
0.000 2.248 3.818
W Br Se
1 2 1
Cartesian
0.000 0.000 0.000
2.215 3.844 2.878
0.000 2.720 0.969
2.215 1.124 1.909

---

What should be chosen as the least stable of them? Choose <1>.

---

<1>
GGA-PBEsol WSe2Br, optimized geometry; magnetic moment = 0.0 μB/f.u.
1.0
-2.267 -2.099 -1.421
2.418 -1.220 -2.056
1.606 -5.037 4.878
Se Br W
2 1 1
Cartesian
0.139 -0.437 0.424
0.528 -3.079 -0.363
1.193 -5.166 1.658
0.699 -2.191 2.122

---

<2>
GGA-PBEsol WSe2Br, optimized geometry; magnetic moment = 0.0 μB/f.u.
1.0
4.635 0.000 0.000
2.318 4.014 0.000
2.318 1.338 3.785
Br Se W
1 2 1
Cartesian
0.000 0.000 0.000
2.318 1.338 0.946
6.953 4.014 2.838
4.635 2.676 1.892

---

What should be chosen as the least stable of them? Choose <2>.

---

<1>
GGA-PBEsol ZrSeBr2, optimized geometry; magnetic moment = 0.0 μB/f.u.
1.0
-2.472 -2.555 0.121
0.856 -1.003 -3.702
4.677 -4.321 4.337
Se Br Zr
1 2 1
Cartesian
4.567 -4.412 0.165
2.195 -2.074 1.069
-0.494 -2.076 -1.637
2.381 -4.694 1.822

---

<2>
GGA-PBEsol ZrSeBr2, optimized geometry; magnetic moment = 0.0 μB/f.u.
1.0
-1.272 0.704 4.240
-1.530 -4.206 0.239
5.064 0.494 -0.932
Br Zr Se
2 1 1
Cartesian
1.195 -0.277 2.774
1.067 -2.732 0.774
0.000 0.000 0.000
-1.401 -1.751 2.240

---

What should be chosen as the least stable of them? Choose <2>.

---

<1>
GGA-PBEsol ZrSe2Br, optimized geometry; magnetic moment = 0.0 μB/f.u.
1.0
-2.812 -1.551 -1.053
1.802 -0.187 -4.539
2.024 -4.339 0.983
Se Br Zr
2 1 1
Cartesian
0.901 -0.094 -2.270
1.012 -2.169 0.492
-1.406 -0.775 -0.526
0.507 -3.038 -2.304

---

<2>
GGA-PBEsol ZrSe2Br, optimized geometry; magnetic moment = 0.0 μB/f.u.
1.0
3.558 0.000 0.000
0.000 4.337 0.000
0.000 0.000 5.226
Se Zr Br
2 1 1
Cartesian
0.000 0.000 0.000
1.779 2.169 0.000
1.779 0.000 2.613
0.000 2.169 2.613

---

What should be chosen as the least stable of them? Choose <1>.